This record from Alexandria describes a geometry-optimized MnNiF2 structure. The functional is GGA+U.

The structure belongs to space group Fm-3m (No. 225); the cell edges are 5.663, 5.663 and 5.663 Å and the angles 90.00°, 90.00° and 90.00°. The inequivalent atoms are Mn at (0.000, 0.000, 0.000), Ni at (0.000, 0.000, 0.500) and F at (0.250, 0.250, 0.250).

Its density of states at the Fermi level is 18.479 states/eV per cell. The spin magnetization is 18.882 μB per cell. The calculation puts the energy above the most stable polymorph in this dataset at 0.4806 eV per atom.